(i)
Here is crystalline LiMgIr at its relaxed geometry from Alexandria via LeMat-Bulk. Energies are from PBE-GGA.

Unit cell a=5.1426 b=5.1426 c=5.1426 alpha=86.69 beta=123.18 gamma=120.69
Fractional positions:
Li: 0.5000 0.5000 0.5000
Ir: 0.5000 0.0000 0.5000
Mg: 0.7500 0.8837 0.1337
Ir: 0.0000 0.5000 0.5000
Li: 0.0000 0.5000 0.0000
Mg: 0.2500 0.1163 0.8663

Computed properties:
total magnetic moment = 0.00 μB/atom
SG = Imma (74)

=====

(ii)
Here is crystalline LiMgIr at its relaxed geometry from Alexandria via LeMat-Bulk. Energies are from PBE-GGA.

Unit cell a=5.0568 b=5.4082 c=4.5296 alpha=83.69 beta=109.52 gamma=57.19
Fractional positions:
Mg: 0.7688 0.0093 0.3299
Ir: 0.1097 0.1676 0.0569
Ir: 0.8270 0.4737 0.4144
Li: 0.1762 0.6425 0.0584
Mg: 0.4876 0.8264 0.7432
Li: 0.4489 0.3564 0.6693

Computed properties:
total magnetic moment = 0.00 μB/atom
SG = P1 (1)

=====

(iii)
Here is crystalline LiMgIr at its relaxed geometry from Alexandria via LeMat-Bulk. Energies are from PBE-GGA.

Unit cell a=7.2667 b=7.0392 c=2.7770 alpha=83.45 beta=74.23 gamma=22.31
Fractional positions:
Li: 0.3473 0.3473 0.6527
Mg: 0.6547 0.6547 0.3453
Ir: 0.9980 0.9980 0.0020

Computed properties:
total magnetic moment = 0.00 μB/atom
SG = Fmm2 (42)

=====

(iv)
Here is crystalline LiMgIr at its relaxed geometry from Alexandria via LeMat-Bulk. Energies are from PBE-GGA.

Unit cell a=6.0571 b=6.0571 c=6.0571 alpha=90.00 beta=90.00 gamma=90.00
Fractional positions:
Mg: 0.0000 0.0000 0.0000
Ir: 0.2551 0.2551 0.7449
Ir: 0.7449 0.2551 0.2551
Li: 0.0000 0.5000 0.5000
Mg: 0.5000 0.0000 0.0000
Li: 0.5000 0.5000 0.5000
Mg: 0.0000 0.0000 0.5000
Ir: 0.7449 0.7449 0.7449
Mg: 0.0000 0.5000 0.0000
Li: 0.5000 0.0000 0.5000
Li: 0.5000 0.5000 0.0000
Ir: 0.2551 0.7449 0.2551

Computed properties:
total magnetic moment = 0.00 μB/atom
SG = P-43m (215)

=====

Most favorable first, least favorable last: (i), (ii), (iii), (iv)

=====

(i)
Here is crystalline LiMgIr at its relaxed geometry from Alexandria via LeMat-Bulk. Energies are from PBE-GGA.

Unit cell a=4.2926 b=4.2926 c=4.2926 alpha=60.00 beta=60.00 gamma=60.00
Fractional positions:
Ir: 0.7500 0.7500 0.7500
Mg: 0.5000 0.5000 0.5000
Li: 0.0000 0.0000 0.0000

Computed properties:
total magnetic moment = 0.00 μB/atom
SG = F-43m (216)

=====

(ii)
Here is crystalline LiMgIr at its relaxed geometry from Alexandria via LeMat-Bulk. Energies are from PBE-GGA.

Unit cell a=4.7076 b=4.7076 c=4.7076 alpha=146.12 beta=128.30 gamma=63.26
Each line ends with the local moment (μB).
Fractional positions:
Ir: 0.0022 0.0022 0.0000  0.36
Mg: 0.6602 0.6602 0.0000  0.00
Li: 0.3375 0.3375 0.0000  0.00

Computed properties:
total magnetic moment = 0.12 μB/atom
SG = Imm2 (44)

=====

Most favorable first, least favorable last: (ii), (i)

=====

(i)
Here is crystalline LiMgIr at its relaxed geometry from Alexandria via LeMat-Bulk. Energies are from PBE-GGA.

Unit cell a=4.4162 b=4.4167 c=5.3473 alpha=89.97 beta=89.96 gamma=59.98
Fractional positions:
Li: 0.0001 0.5000 0.2149
Ir: 0.3335 0.8334 0.1010
Mg: 0.6668 0.1667 0.3863
Mg: 0.3332 0.8333 0.6137
Ir: 0.6665 0.1666 0.8990
Li: 0.9999 0.5000 0.7851

Computed properties:
total magnetic moment = 0.00 μB/atom
SG = P-3m1 (164)

=====

(ii)
Here is crystalline LiMgIr at its relaxed geometry from Alexandria via LeMat-Bulk. Energies are from PBE-GGA.

Unit cell a=4.3693 b=4.3693 c=2.6951 alpha=90.00 beta=90.00 gamma=120.00
Each line ends with the local moment (μB).
Fractional positions:
Li: 0.6667 0.3333 0.3225  0.00
Mg: 0.3333 0.6667 0.6251  0.00
Ir: 0.0000 0.0000 0.0524  0.33

Computed properties:
total magnetic moment = 0.11 μB/atom
SG = P3m1 (156)

=====

Most favorable first, least favorable last: (ii), (i)

=====

(i)
Here is crystalline LiMgIr at its relaxed geometry from Alexandria via LeMat-Bulk. Energies are from PBE-GGA.

Unit cell a=4.8216 b=4.8216 c=4.8216 alpha=140.91 beta=140.91 gamma=56.47
Fractional positions:
Li: 0.3471 0.3471 0.0000
Ir: 0.9932 0.9932 0.0000
Mg: 0.6597 0.6597 0.0000

Computed properties:
total magnetic moment = 0.00 μB/atom
SG = I4mm (107)

=====

(ii)
Here is crystalline LiMgIr at its relaxed geometry from Alexandria via LeMat-Bulk. Energies are from PBE-GGA.

Unit cell a=2.8429 b=2.8429 c=6.8343 alpha=90.00 beta=90.00 gamma=120.00
Fractional positions:
Ir: 0.0000 0.0000 0.0036
Mg: 0.3333 0.6667 0.6903
Li: 0.6667 0.3333 0.3061

Computed properties:
total magnetic moment = 0.00 μB/atom
SG = P3m1 (156)

=====

Most favorable first, least favorable last: (i), (ii)

=====

(i)
Here is crystalline LiMg4Ir at its relaxed geometry from Alexandria via LeMat-Bulk. Energies are from PBE-GGA.

Unit cell a=5.4506 b=5.4506 c=5.4506 alpha=60.00 beta=60.00 gamma=60.00
Fractional positions:
Mg: 0.3758 0.3758 0.8726
Mg: 0.3758 0.8726 0.3758
Li: 0.0000 0.0000 0.0000
Ir: 0.7500 0.7500 0.7500
Mg: 0.3758 0.3758 0.3758
Mg: 0.8726 0.3758 0.3758

Computed properties:
total magnetic moment = 0.00 μB/atom
SG = F-43m (216)

=====

(ii)
Here is crystalline LiMg4Ir at its relaxed geometry from Alexandria via LeMat-Bulk. Energies are from PBE-GGA.

Unit cell a=4.4244 b=4.4268 c=7.3118 alpha=89.99 beta=90.01 gamma=90.00
Fractional positions:
Li: 0.0010 0.9977 0.4981
Mg: 0.5015 0.9970 0.7945
Mg: 0.0013 0.4963 0.7945
Mg: 0.5013 0.9975 0.2017
Mg: 0.0013 0.4978 0.2018
Ir: 0.5012 0.4973 0.9982

Computed properties:
total magnetic moment = 0.00 μB/atom
SG = Pm (6)

=====

(iii)
Here is crystalline LiMg4Ir at its relaxed geometry from Alexandria via LeMat-Bulk. Energies are from PBE-GGA.

Unit cell a=4.6876 b=4.6876 c=7.1927 alpha=108.78 beta=108.78 gamma=60.09
Fractional positions:
Mg: 0.3743 0.3743 0.1229
Li: 0.0000 0.0000 0.0000
Mg: 0.1988 0.1988 0.5975
Ir: 0.5000 0.5000 0.5000
Mg: 0.8012 0.8012 0.4025
Mg: 0.6257 0.6257 0.8771

Computed properties:
total magnetic moment = 0.00 μB/atom
SG = C2/m (12)

=====

Most favorable first, least favorable last: (iii), (ii), (i)

=====

(i)
Here is crystalline LiMg2Ir2 at its relaxed geometry from Alexandria via LeMat-Bulk. Energies are from PBE-GGA.

Unit cell a=7.7183 b=7.7183 c=2.8663 alpha=90.00 beta=90.00 gamma=90.00
Fractional positions:
Ir: 0.6218 0.1218 0.0000
Mg: 0.3266 0.1734 0.5000
Ir: 0.8782 0.6218 0.0000
Mg: 0.1734 0.6734 0.5000
Mg: 0.6734 0.8266 0.5000
Ir: 0.3782 0.8782 0.0000
Ir: 0.1218 0.3782 0.0000
Li: 0.0000 0.0000 0.0000
Mg: 0.8266 0.3266 0.5000
Li: 0.5000 0.5000 0.0000

Computed properties:
total magnetic moment = 0.00 μB/atom
SG = P4/mbm (127)

=====

(ii)
Here is crystalline LiMg2Ir2 at its relaxed geometry from Alexandria via LeMat-Bulk. Energies are from PBE-GGA.

Unit cell a=7.9687 b=7.9687 c=2.6921 alpha=90.00 beta=90.00 gamma=90.00
Fractional positions:
Li: 0.0000 0.0000 0.0000
Mg: 0.6364 0.1364 0.0000
Ir: 0.1600 0.6600 0.5000
Mg: 0.3636 0.8636 0.0000
Mg: 0.8636 0.6364 0.0000
Ir: 0.6600 0.8400 0.5000
Ir: 0.3400 0.1600 0.5000
Mg: 0.1364 0.3636 0.0000
Li: 0.5000 0.5000 0.0000
Ir: 0.8400 0.3400 0.5000

Computed properties:
total magnetic moment = 0.00 μB/atom
SG = P4/mbm (127)

=====

Most favorable first, least favorable last: (i), (ii)

=====

(i)
Here is crystalline Li2MgIr2 at its relaxed geometry from Alexandria via LeMat-Bulk. Energies are from PBE-GGA.

Unit cell a=5.7855 b=5.7855 c=3.8157 alpha=90.00 beta=90.00 gamma=90.00
Fractional positions:
Ir: 0.6795 0.8205 0.5000
Mg: 0.5000 0.5000 0.0000
Li: 0.1194 0.3806 0.0000
Li: 0.3806 0.8806 0.0000
Mg: 0.0000 0.0000 0.0000
Ir: 0.8205 0.3205 0.5000
Ir: 0.3205 0.1795 0.5000
Ir: 0.1795 0.6795 0.5000
Li: 0.6194 0.1194 0.0000
Li: 0.8806 0.6194 0.0000

Computed properties:
total magnetic moment = 0.00 μB/atom
SG = P4/mbm (127)

=====

(ii)
Here is crystalline Li2MgIr2 at its relaxed geometry from Alexandria via LeMat-Bulk. Energies are from PBE-GGA.

Unit cell a=7.2426 b=7.2426 c=2.7933 alpha=90.00 beta=90.00 gamma=90.00
Fractional positions:
Ir: 0.1244 0.3756 0.0000
Ir: 0.6244 0.1244 0.0000
Ir: 0.8756 0.6244 0.0000
Li: 0.1699 0.6699 0.5000
Mg: 0.0000 0.0000 0.0000
Li: 0.6699 0.8301 0.5000
Li: 0.8301 0.3301 0.5000
Li: 0.3301 0.1699 0.5000
Ir: 0.3756 0.8756 0.0000
Mg: 0.5000 0.5000 0.0000

Computed properties:
total magnetic moment = 0.00 μB/atom
SG = P4/mbm (127)

=====

Most favorable first, least favorable last: (i), (ii)

=====

(i)
Here is crystalline LiMgPIr2 at its relaxed geometry from Alexandria via LeMat-Bulk. Energies are from PBE-GGA.

Unit cell a=4.5734 b=4.0913 c=4.5734 alpha=90.00 beta=90.00 gamma=90.00
Fractional positions:
Ir: 0.5000 0.0000 0.0000
Ir: 0.0000 0.0000 0.5000
P: 0.5000 0.5000 0.5000
Mg: 0.0000 0.0000 0.0000
Li: 0.0000 0.5000 0.0000

Computed properties:
total magnetic moment = 0.00 μB/atom
SG = P4/mmm (123)

=====

(ii)
Here is crystalline LiMgPIr2 at its relaxed geometry from Alexandria via LeMat-Bulk. Energies are from PBE-GGA.

Unit cell a=4.4046 b=4.3862 c=4.4046 alpha=90.00 beta=90.00 gamma=90.00
Fractional positions:
Mg: 0.5000 0.5000 0.5000
Ir: 0.0000 0.0000 0.5000
Li: 0.0000 0.5000 0.0000
P: 0.0000 0.0000 0.0000
Ir: 0.5000 0.0000 0.0000

Computed properties:
total magnetic moment = 0.00 μB/atom
SG = P4/mmm (123)

=====

Most favorable first, least favorable last: (ii), (i)